Entry 1
KV2SbO8 after structural relaxation. Source: Alexandria, functional PBE with a Hubbard U.

abc: 8.9883 5.7198 7.9183
angles: 90.00 92.37 90.00
Space group C2/m (No. 12)
Symmetry-distinct sites (fractional):
K  0.0000  0.0000  0.0000 [2 per cell]
V  0.1345  0.5000  0.2970 [4 per cell]
Sb  0.0000  0.0000  0.5000 [2 per cell]
O  0.0241  0.2402  0.3204 [8 per cell]
O  0.1939  0.5000  0.1037 [4 per cell]
O  0.2194  0.0000  0.5497 [4 per cell]

Calculated values
crystal system: monoclinic
density: 3.19 Mg/m³


Entry 2
KV2SbO8 after structural relaxation. Source: Alexandria, functional PBE with a Hubbard U.

abc: 15.3983 5.6236 8.7782
angles: 90.00 90.00 90.00
Space group Pnma (No. 62)
Symmetry-distinct sites (fractional):
K  0.1194  0.2500  0.0501 [4 per cell]
V  0.0182  0.7500  0.2905 [4 per cell]
V  0.2142  0.2500  0.4723 [4 per cell]
Sb  0.1249  0.7500  0.6688 [4 per cell]
O  0.0479  0.5024  0.7591 [8 per cell]
O  0.0529  0.7500  0.4805 [4 per cell]
O  0.0989  0.7500  0.1686 [4 per cell]
O  0.1314  0.2500  0.3564 [4 per cell]
O  0.1866  0.7500  0.8687 [4 per cell]
O  0.2090  0.5095  0.5898 [8 per cell]

Calculated values
crystal system: orthorhombic
density: 3.41 Mg/m³


The structure with the greatest stability is entry 1.


Entry 1
KSbWO6 after structural relaxation. Source: Alexandria, functional PBE with a Hubbard U.

abc: 7.2959 10.4179 7.4417
angles: 90.00 90.00 90.00
Space group Ima2 (No. 46)
Symmetry-distinct sites (fractional):
K  0.2500  0.1528  0.0000 [4 per cell]
Sb  0.0000  0.0000  0.4179 [4 per cell]
W  0.2500  0.7458  0.1792 [4 per cell]
O  0.0601  0.6273  0.1097 [8 per cell]
O  0.0613  0.6269  0.7242 [8 per cell]
O  0.2500  0.0766  0.4107 [4 per cell]
O  0.2500  0.6908  0.4207 [4 per cell]

Calculated values
crystal system: orthorhombic
density: 5.18 Mg/m³


Entry 2
KSbWO6 after structural relaxation. Source: Alexandria, functional PBE with a Hubbard U.

abc: 5.3712 5.3712 11.9702
angles: 90.00 90.00 120.00
Space group P-31c (No. 163)
Symmetry-distinct sites (fractional):
K  0.0000  0.0000  0.0000 [2 per cell]
Sb  0.3333  0.6667  0.2500 [2 per cell]
W  0.3333  0.6667  0.7500 [2 per cell]
O  0.0078  0.3968  0.6571 [12 per cell]

Calculated values
crystal system: trigonal
density: 4.89 Mg/m³


The structure with the greatest stability is entry 1.